[1]
Entry from Alexandria via LeMat-Bulk: crystalline AgOsRh4 at its relaxed geometry (PBE-GGA).

Computed properties:
As for the formation energy from the elements: 343 kJ/mol of formula units. The magnetic moment is 0.2652 μB per atom. For the total energy, the calculation gives -39.93 eV/cell. The density of states at the Fermi level is 1.446 states/eV per atom. As for the volume: 15.50 Å³/atom. The space group is F-43m.

Unit cell a=5.0853 b=5.0853 c=5.0853 alpha=60.00 beta=60.00 gamma=60.00
With the nearest neighbours (Å) after each atom.
Sites, in units of the cell vectors:
Ag 0.0000 0.0000 0.0000  12 Rh 2.98, 4 Os 3.11
Os 0.7500 0.7500 0.7500  12 Rh 2.98, 4 Ag 3.11
Rh 0.3750 0.3750 0.3750  6 Rh 2.54
Rh 0.3750 0.3750 0.8750  6 Rh 2.54
Rh 0.3750 0.8750 0.3750  6 Rh 2.54
Rh 0.8750 0.3750 0.3750  6 Rh 2.54

[2]
Entry from Alexandria via LeMat-Bulk: crystalline AgOs2Rh at its relaxed geometry (PBE-GGA).

Computed properties:
As for the formation energy from the elements: 268 kJ/mol of formula units. The magnetic moment is 0.0000 μB per atom. For the total energy, the calculation gives -29.88 eV/cell. The density of states at the Fermi level is 1.680 states/eV per atom. Its relative energy among the computed polymorphs is 447 meV/atom. As for the volume: 14.97 Å³/atom. The space group is P4/mmm.

Unit cell a=3.8420 b=3.8420 c=4.0578 alpha=90.00 beta=90.00 gamma=90.00
With the nearest neighbours (Å) after each atom.
Sites, in units of the cell vectors:
Ag 0.0000 0.0000 0.0000  4 Rh 2.72, 8 Os 2.79
Os 0.0000 0.5000 0.5000  4 Os 2.72, 4 Rh 2.79, 4 Ag 2.79
Os 0.5000 0.0000 0.5000  4 Os 2.72, 4 Rh 2.79, 4 Ag 2.79
Rh 0.5000 0.5000 0.0000  4 Ag 2.72, 8 Os 2.79

[3]
Entry from Alexandria via LeMat-Bulk: crystalline AgOsRh2 at its relaxed geometry (PBE-GGA).

Computed properties:
As for the formation energy from the elements: 187 kJ/mol of formula units. The magnetic moment is 0.0001 μB per atom. For the total energy, the calculation gives -26.84 eV/cell. The density of states at the Fermi level is 1.085 states/eV per atom. Its relative energy among the computed polymorphs is 366 meV/atom. As for the volume: 15.41 Å³/atom. The space group is Immm.

Unit cell a=5.4713 b=5.4713 c=5.4713 alpha=151.02 beta=128.47 gamma=60.20
With the nearest neighbours (Å) after each atom.
Sites, in units of the cell vectors:
Ag 0.0000 0.0000 0.0000  2 Ag 2.74, 4 Os 2.74, 4 Rh 2.88
Os 0.5000 0.5000 0.0000  4 Rh 2.59, 2 Os 2.74, 4 Ag 2.74
Rh 0.2673 0.7673 0.5000  2 Os 2.59, 6 Rh 2.74-2.76, 2 Ag 2.88
Rh 0.7327 0.2327 0.5000  2 Os 2.59, 6 Rh 2.74-2.76, 2 Ag 2.88

[4]
Entry from Alexandria via LeMat-Bulk: crystalline AgOsRh3 at its relaxed geometry (PBE-GGA).

Computed properties:
As for the formation energy from the elements: 600 kJ/mol of formula units. The magnetic moment is 0.0000 μB per atom. For the total energy, the calculation gives -29.92 eV/cell. The density of states at the Fermi level is 0.682 states/eV per atom. Its relative energy among the computed polymorphs is 0 meV/atom. As for the volume: 20.78 Å³/atom. The space group is Pm-3m.

Unit cell a=4.7014 b=4.7014 c=4.7014 alpha=90.00 beta=90.00 gamma=90.00
With the nearest neighbours (Å) after each atom.
Sites, in units of the cell vectors:
Ag 0.0000 0.0000 0.0000  12 Rh 3.32
Os 0.5000 0.5000 0.5000  6 Rh 2.35
Rh 0.0000 0.5000 0.5000  2 Os 2.35
Rh 0.5000 0.0000 0.5000  2 Os 2.35
Rh 0.5000 0.5000 0.0000  2 Os 2.35

[5]
Entry from Alexandria via LeMat-Bulk: crystalline AgOs2Rh at its relaxed geometry (PBE-GGA).

Computed properties:
As for the formation energy from the elements: 230 kJ/mol of formula units. The magnetic moment is 0.0000 μB per atom. For the total energy, the calculation gives -30.28 eV/cell. The density of states at the Fermi level is 0.909 states/eV per atom. Its relative energy among the computed polymorphs is 347 meV/atom. As for the volume: 15.34 Å³/atom. The space group is Cmmm.

Unit cell a=2.6965 b=2.6965 c=9.6683 alpha=90.00 beta=90.00 gamma=119.24
With the nearest neighbours (Å) after each atom.
Sites, in units of the cell vectors:
Ag 0.0000 0.0000 0.0000  6 Ag 2.70-2.73, 4 Os 2.87
Os 0.5000 0.5000 0.2612  2 Rh 2.68, 6 Os 2.70-2.73, 2 Ag 2.87
Os 0.5000 0.5000 0.7388  2 Rh 2.68, 6 Os 2.70-2.73, 2 Ag 2.87
Rh 0.0000 0.0000 0.5000  4 Os 2.68, 6 Rh 2.70-2.73

[6]
Entry from Alexandria via LeMat-Bulk: crystalline AgOs2Rh at its relaxed geometry (PBE-GGA).

Computed properties:
As for the formation energy from the elements: 112 kJ/mol of formula units. The magnetic moment is 0.0000 μB per atom. For the total energy, the calculation gives -31.50 eV/cell. The density of states at the Fermi level is 0.886 states/eV per atom. Its relative energy among the computed polymorphs is 44 meV/atom. As for the volume: 15.20 Å³/atom. The space group is P4mm.

Unit cell a=2.7835 b=2.7835 c=7.8466 alpha=90.00 beta=90.00 gamma=90.00
With the nearest neighbours (Å) after each atom.
Sites, in units of the cell vectors:
Ag 0.0000 0.0000 0.0000  4 Ag 2.78, 4 Rh 2.87, 4 Os 2.92
Os 0.0000 0.0000 0.4937  8 Os 2.61-2.78, 4 Rh 2.72
Os 0.5000 0.5000 0.2756  8 Os 2.61-2.78
Rh 0.5000 0.5000 0.7331  4 Os 2.72, 4 Rh 2.78, 4 Ag 2.87

[7]
Entry from Alexandria via LeMat-Bulk: crystalline AgOsRh2 at its relaxed geometry (PBE-GGA).

Computed properties:
As for the formation energy from the elements: 98 kJ/mol of formula units. The magnetic moment is 0.1588 μB per atom. For the total energy, the calculation gives -27.77 eV/cell. The density of states at the Fermi level is 1.442 states/eV per atom. Its relative energy among the computed polymorphs is 134 meV/atom. As for the volume: 15.04 Å³/atom. The space group is R3m.

Unit cell a=9.3250 b=9.3250 c=9.3250 alpha=16.96 beta=16.96 gamma=16.96
With the nearest neighbours (Å) after each atom.
Sites, in units of the cell vectors:
Ag 0.0000 0.0000 0.0000  6 Ag 2.75, 3 Rh 2.87, 3 Os 2.92
Os 0.7556 0.7556 0.7556  3 Rh 2.63, 6 Os 2.75, 3 Ag 2.92
Rh 0.2466 0.2466 0.2466  9 Rh 2.75, 3 Ag 2.87
Rh 0.4985 0.4985 0.4985  3 Os 2.63, 9 Rh 2.75

[8]
Entry from Alexandria via LeMat-Bulk: crystalline AgOsRh2 at its relaxed geometry (PBE-GGA).

Computed properties:
As for the formation energy from the elements: 132 kJ/mol of formula units. The magnetic moment is 0.0000 μB per atom. For the total energy, the calculation gives -27.42 eV/cell. The density of states at the Fermi level is 1.050 states/eV per atom. Its relative energy among the computed polymorphs is 223 meV/atom. As for the volume: 14.94 Å³/atom. The space group is C2/m.

Unit cell a=4.7439 b=4.7439 c=4.8877 alpha=98.79 beta=98.79 gamma=33.39
With the nearest neighbours (Å) after each atom.
Sites, in units of the cell vectors:
Ag 0.0000 0.0000 0.0000  2 Ag 2.73, 6 Rh 2.74-2.83, 4 Os 2.80
Os 0.5000 0.5000 0.5000  6 Rh 2.70-2.75, 2 Os 2.73, 4 Ag 2.80
Rh 0.2443 0.2443 0.7343  6 Rh 2.68-2.92, 3 Os 2.70-2.75, 3 Ag 2.74-2.83
Rh 0.7557 0.7557 0.2657  6 Rh 2.68-2.92, 3 Os 2.70-2.75, 3 Ag 2.74-2.83

[9]
Entry from Alexandria via LeMat-Bulk: crystalline AgOs2Rh at its relaxed geometry (PBE-GGA).

Computed properties:
As for the formation energy from the elements: 233 kJ/mol of formula units. The magnetic moment is 0.0000 μB per atom. For the total energy, the calculation gives -30.25 eV/cell. The density of states at the Fermi level is 0.926 states/eV per atom. Its relative energy among the computed polymorphs is 355 meV/atom. As for the volume: 15.70 Å³/atom. The space group is Imm2.

Unit cell a=5.6058 b=5.6058 c=5.6058 alpha=151.78 beta=130.63 gamma=57.84
With the nearest neighbours (Å) after each atom.
Sites, in units of the cell vectors:
Ag 0.0000 0.0000 0.0000  6 Os 2.72-2.96, 2 Ag 2.73
Os 0.5180 0.5180 0.0000  4 Os 2.51-2.73, 2 Rh 2.70, 4 Ag 2.72
Os 0.7322 0.2322 0.5000  4 Os 2.51-2.73, 4 Rh 2.75
Rh 0.2813 0.7813 0.5000  6 Os 2.70-2.75, 2 Rh 2.73

[10]
Entry from Alexandria via LeMat-Bulk: crystalline AgOs2Rh at its relaxed geometry (PBE-GGA).

Computed properties:
As for the formation energy from the elements: 148 kJ/mol of formula units. The magnetic moment is 0.0000 μB per atom. For the total energy, the calculation gives -31.13 eV/cell. The density of states at the Fermi level is 0.987 states/eV per atom. Its relative energy among the computed polymorphs is 136 meV/atom. As for the volume: 15.05 Å³/atom. The space group is Pmm2.

Unit cell a=2.7573 b=3.8528 c=5.6656 alpha=90.00 beta=90.00 gamma=90.00
With the nearest neighbours (Å) after each atom.
Sites, in units of the cell vectors:
Ag 0.0000 0.0000 0.0000  2 Ag 2.76, 6 Os 2.78-2.89, 4 Rh 2.78
Os 0.0000 0.0000 0.4899  6 Os 2.65-2.76, 4 Rh 2.77, 2 Ag 2.78-2.89
Os 0.5000 0.5000 0.2803  1 Rh 2.63, 6 Os 2.65-2.76, 4 Ag 2.85
Rh 0.5000 0.5000 0.7444  5 Os 2.63-2.77, 2 Rh 2.76, 4 Ag 2.78